Below is crystalline TaCu at its relaxed geometry, with properties calculated at the PBE-GGA level.

Cell: 5.290 5.290 4.722 Å, 116.10 116.10 31.31°
Positions (direct):
Ta 0.117 0.117 0.332
Ta 0.883 0.883 0.668
Cu 0.361 0.361 0.153
Cu 0.639 0.639 0.847

* electronic total energy: -7.829 eV/atom
* calculated formation energy: 0.29 eV per formula unit